P) PBE KMgMoPd, relaxed; magnetization = 0.00 μB per formula unit
1.0
3.0645 0.0000 0.0000
0.0000 3.0645 0.0000
0.0000 0.0000 9.5427
Pd Mg K Mo
1 1 1 1
direct
0.0000 0.0000 0.8324 Pd
0.0000 0.0000 0.4622 Mg
0.5000 0.5000 0.1016 K
0.5000 0.5000 0.6687 Mo

Q) PBE KMgMoPd, relaxed; magnetization = 0.00 μB per formula unit
1.0
-1.9497 2.2797 -2.5741
0.4772 -1.9327 -2.0731
-7.0105 -3.8086 1.9370
Mg Mo Pd K
1 1 1 1
direct
0.0000 0.5000 0.4722 Mg
0.5000 0.0000 0.6734 Mo
0.0000 0.5000 0.8095 Pd
0.5000 0.0000 0.1098 K

Sorted by energy, starting with the most stable: P), Q).

P) PBE KMgTeN2, relaxed; magnetization = 5.00 μB per formula unit
1.0
-1.3635 -3.9753 1.8926
4.3947 -1.3490 0.3327
0.3326 2.3714 5.2205
N Mg K Te
2 1 1 1
direct
0.0000 0.5000 0.0000 N
0.5000 0.0000 0.0000 N
0.0000 0.0000 0.0000 Mg
0.5000 0.5000 0.5000 K
0.0000 0.0000 0.5000 Te

Q) PBE KMgTeN2, relaxed; magnetization = 5.21 μB per formula unit
1.0
-4.3856 0.5180 -1.8899
1.6890 -1.3498 -4.2894
-1.4260 -6.5743 1.5073
K Te N Mg
1 1 2 1
direct
0.0000 0.0000 0.0000 K
0.0000 0.0000 0.5000 Te
0.0000 0.5000 0.0000 N
0.5000 0.0000 0.0000 N
0.5000 0.5000 0.5000 Mg

Sorted by energy, starting with the most stable: P), Q).

P) PBE KMgTe2N, relaxed; magnetization = 2.86 μB per formula unit
1.0
-3.6616 3.9875 2.4583
1.6432 -1.8286 5.4136
3.2606 2.9831 0.0179
N Te Mg K
1 2 1 1
direct
0.0000 0.0000 0.5000 N
0.5000 0.0000 0.0000 Te
0.0000 0.5000 0.0000 Te
0.5000 0.5000 0.5000 Mg
0.0000 0.0000 0.0000 K

Q) PBE KMgTe2N, relaxed; magnetization = 2.05 μB per formula unit
1.0
6.1851 0.0000 0.0000
0.0000 6.1851 0.0000
0.0000 0.0000 3.8993
Te N Mg K
2 1 1 1
direct
0.5000 0.0000 0.0000 Te
0.0000 0.5000 0.0000 Te
0.0000 0.0000 0.5000 N
0.0000 0.0000 0.0000 Mg
0.5000 0.5000 0.5000 K

Sorted by energy, starting with the most stable: Q), P).